Compound: RbSiS3
Source: the Alexandria database
Functional: PBE-GGA
Structure: optimized geometry

```
data_RbSiS3
_space_group_name_H-M_alt 'P 1'
_space_group_IT_number 1
_space_group_name_Hall 'P 1'
_cell_length_a 5.422
_cell_length_b 5.422
_cell_length_c 5.422
_cell_angle_alpha 90.00
_cell_angle_beta 90.00
_cell_angle_gamma 90.00
loop_
_atom_site_label
_atom_site_type_symbol
_atom_site_fract_x
_atom_site_fract_y
_atom_site_fract_z
S1 S 0.000 0.000 0.500
S2 S 0.000 0.500 0.000
S3 S 0.500 0.000 0.000
Si1 Si 0.500 0.500 0.500
Rb1 Rb 0.000 0.000 0.000
```

Properties
Calculated total energy ... -2.152 eV/atom
DOS(E_F) ... 3.766 states/eV/f.u.
SG ... Pm-3m (221)
Energy relative to the elements, uncorrected ... 1603 meV per atom



Compound: Rb2SiS4
Source: the Alexandria database
Functional: PBE-GGA
Structure: optimized geometry

```
data_Rb2SiS4
_space_group_name_H-M_alt 'P 1'
_space_group_IT_number 1
_space_group_name_Hall 'P 1'
_cell_length_a 4.869
_cell_length_b 4.869
_cell_length_c 8.738
_cell_angle_alpha 73.82
_cell_angle_beta 73.82
_cell_angle_gamma 90.00
loop_
_atom_site_label
_atom_site_type_symbol
_atom_site_fract_x
_atom_site_fract_y
_atom_site_fract_z
Si1 Si 0.000 0.000 0.000
S1 S 0.500 0.000 0.000
S2 S 0.134 0.134 0.732
S3 S 0.000 0.500 0.000
S4 S 0.866 0.866 0.268
Rb1 Rb 0.647 0.647 0.705
Rb2 Rb 0.353 0.353 0.295
```

Properties
Calculated total energy ... -3.909 eV/atom
DOS(E_F) ... 4.113 states/eV/f.u.
SG ... I4/mmm (139)
Energy relative to the elements, uncorrected ... -500 meV per atom



Compound: RbSiS3
Source: the Alexandria database
Functional: PBE-GGA
Structure: optimized geometry

```
data_RbSiS3
_space_group_name_H-M_alt 'P 1'
_space_group_IT_number 1
_space_group_name_Hall 'P 1'
_cell_length_a 9.370
_cell_length_b 9.370
_cell_length_c 9.319
_cell_angle_alpha 95.60
_cell_angle_beta 95.60
_cell_angle_gamma 114.66
loop_
_atom_site_label
_atom_site_type_symbol
_atom_site_fract_x
_atom_site_fract_y
_atom_site_fract_z
Rb1 Rb 0.667 0.333 0.250
Rb2 Rb 0.844 0.156 0.750
Rb3 Rb 0.156 0.844 0.250
Rb4 Rb 0.333 0.667 0.750
S1 S 0.486 0.083 0.848
S2 S 0.192 0.394 0.988
S3 S 0.606 0.808 0.512
S4 S 0.041 0.900 0.852
S5 S 0.514 0.917 0.152
S6 S 0.083 0.486 0.348
S7 S 0.959 0.100 0.148
S8 S 0.394 0.192 0.488
S9 S 0.900 0.041 0.352
S10 S 0.917 0.514 0.652
S11 S 0.808 0.606 0.012
S12 S 0.100 0.959 0.648
Si1 Si 0.646 0.908 0.329
Si2 Si 0.908 0.646 0.829
Si3 Si 0.092 0.354 0.171
Si4 Si 0.354 0.092 0.671
```

Properties
Calculated total energy ... -4.436 eV/atom
DOS(E_F) ... 0.000 states/eV/f.u.
SG ... C2/c (15)
Energy relative to the elements, uncorrected ... -681 meV per atom



Compound: Rb3SiS
Source: the Alexandria database
Functional: PBE-GGA
Structure: optimized geometry

```
data_Rb3SiS
_space_group_name_H-M_alt 'P 1'
_space_group_IT_number 1
_space_group_name_Hall 'P 1'
_cell_length_a 6.377
_cell_length_b 6.377
_cell_length_c 6.377
_cell_angle_alpha 90.00
_cell_angle_beta 90.00
_cell_angle_gamma 90.00
loop_
_atom_site_label
_atom_site_type_symbol
_atom_site_fract_x
_atom_site_fract_y
_atom_site_fract_z
Rb1 Rb 0.500 0.000 0.000
Rb2 Rb 0.000 0.000 0.500
Rb3 Rb 0.000 0.500 0.000
Si1 Si 0.500 0.500 0.500
S1 S 0.000 0.000 0.000
```

Properties
Calculated total energy ... -2.596 eV/atom
DOS(E_F) ... 0.000 states/eV/f.u.
ΔE to the lowest computed polymorph ... 0.000 eV/atom
SG ... Pm-3m (221)
Energy relative to the elements, uncorrected ... -105 meV per atom